No. 1
This record from the Alexandria database describes crystalline AcLa4Ho at its relaxed geometry. The functional is PBE.

## Properties
E_tot	-54.54	eV/cell
symmetry	Imma (74)

a = 12.2031 Å, b = 7.0100 Å, c = 8.7831 Å
α = 113.52°, β = 134.00°, γ = 90.00°
Fractional coordinates of all 12 atoms:
1 Ac 0.5000 0.0000 0.5000
2 Ac 0.0000 0.0000 0.5000
3 La 0.1565 0.6303 0.3129
4 La 0.3757 0.3503 0.2007
5 La 0.6243 0.6497 0.7993
6 La 0.8435 0.8173 0.6871
7 La 0.1565 0.1827 0.3129
8 La 0.1750 0.6497 0.7993
9 La 0.8250 0.3503 0.2007
10 La 0.8435 0.3697 0.6871
11 Ho 0.5000 0.5000 0.0000
12 Ho 0.5000 0.0000 0.0000



No. 2
This record from the Alexandria database describes crystalline Ac6La2Ho at its relaxed geometry. The functional is PBE.

## Properties
E_tot	-38.37	eV/cell
energy above the most stable polymorph in this dataset	0	meV/atom
symmetry	P-6m2 (187)

a = 3.8965 Å, b = 3.8965 Å, c = 28.9622 Å
α = 90.00°, β = 90.00°, γ = 120.00°
Fractional coordinates of all 9 atoms:
1 La 0.6667 0.3333 0.3278
2 La 0.6667 0.3333 0.6722
3 Ac 0.3333 0.6667 0.4348
4 Ac 0.3333 0.6667 0.7830
5 Ac 0.3333 0.6667 0.2170
6 Ac 0.6667 0.3333 0.8977
7 Ac 0.3333 0.6667 0.5652
8 Ac 0.6667 0.3333 0.1023
9 Ho 0.3333 0.6667 0.0000



No. 3
This record from the Alexandria database describes crystalline Ac6La2Ho3 at its relaxed geometry. The functional is PBE.

## Properties
E_tot	-46.20	eV/cell
symmetry	C2/m (12)

a = 6.6324 Å, b = 6.6080 Å, c = 12.2290 Å
α = 85.13°, β = 80.26°, γ = 59.88°
Fractional coordinates of all 11 atoms:
1 Ho 0.3345 0.3309 0.0000
2 Ho 0.6655 0.6691 0.0000
3 Ho 0.0000 0.0000 0.0000
4 Ac 0.5890 0.3330 0.2448
5 Ac 0.7435 0.0000 0.7510
6 Ac 0.2565 0.0000 0.2490
7 Ac 0.4110 0.6670 0.7552
8 Ac 0.9221 0.6670 0.2448
9 Ac 0.0779 0.3330 0.7552
10 La 0.8295 0.3410 0.5000
11 La 0.1705 0.6590 0.5000